No. 1
{"formula": "Pm2ThPa", "functional": "GGA-PBE", "state": "optimized geometry", "lattice": [[3.411, 0.000, 0.000], [-1.706, 2.954, 0.000], [0.000, 0.000, 36.966]], "species": ["Pm", "Pm", "Pm", "Pm", "Pm", "Pm", "Th", "Th", "Th", "Pa", "Pa", "Pa"], "frac_coords": [[0.000, 0.000, 0.088], [0.000, 0.000, 0.912], [0.333, 0.667, 0.579], [0.333, 0.667, 0.754], [0.667, 0.333, 0.246], [0.667, 0.333, 0.421], [0.000, 0.000, 0.500], [0.333, 0.667, 0.167], [0.667, 0.333, 0.833], [0.000, 0.000, 0.000], [0.333, 0.667, 0.667], [0.667, 0.333, 0.333]], "density_g_cm3": 10.07, "volume_a3_per_atom": 31.048, "formation_enthalpy_0k_ev_per_atom": 0.322, "dos_ef_per_ev_cell": 16.09}

No. 2
{"formula": "Li3CuGe", "functional": "GGA-PBE", "state": "optimized geometry", "lattice": [[4.498, 0.000, 0.000], [0.000, 4.498, 0.000], [0.000, 0.000, 4.498]], "species": ["Li", "Li", "Li", "Cu", "Ge"], "frac_coords": [[0.000, 0.000, 0.500], [0.000, 0.500, 0.000], [0.500, 0.000, 0.000], [0.000, 0.000, 0.000], [0.500, 0.500, 0.500]], "density_g_cm3": 2.86, "volume_a3_per_atom": 18.205, "formation_enthalpy_0k_ev_per_atom": 0.257, "dos_ef_per_ev_cell": 1.94}

No. 3
{"formula": "Th2AlNi6", "functional": "GGA-PBE", "state": "optimized geometry", "lattice": [[5.346, 0.000, 0.000], [-2.673, 4.630, 0.000], [0.000, 0.000, 5.729]], "species": ["Th", "Th", "Al", "Ni", "Ni", "Ni", "Ni", "Ni", "Ni"], "frac_coords": [[0.333, 0.667, 0.196], [0.667, 0.333, 0.804], [0.000, 0.000, 0.000], [0.172, 0.344, 0.674], [0.172, 0.828, 0.674], [0.344, 0.172, 0.326], [0.656, 0.828, 0.674], [0.828, 0.172, 0.326], [0.828, 0.656, 0.326]], "density_g_cm3": 9.87, "volume_a3_per_atom": 15.756, "formation_enthalpy_0k_ev_per_atom": -0.464, "dos_ef_per_ev_cell": 5.69}

No. 4
{"formula": "VZnW", "functional": "GGA-PBE", "state": "optimized geometry", "lattice": [[3.208, 0.000, 0.000], [0.000, 3.208, 0.000], [0.000, 0.000, 8.628]], "species": ["V", "V", "Zn", "Zn", "W", "W"], "frac_coords": [[0.000, 0.000, 0.000], [0.500, 0.500, 0.500], [0.000, 0.000, 0.675], [0.500, 0.500, 0.175], [0.000, 0.000, 0.355], [0.500, 0.500, 0.855]], "density_g_cm3": 11.23, "volume_a3_per_atom": 14.795, "formation_enthalpy_0k_ev_per_atom": 0.182, "dos_ef_per_ev_cell": 8.86}